Entry 1:
A plane-wave DFT calculation with PBE was carried out for crystalline La2CoHg at its relaxed geometry.

## Properties
* crystal system: monoclinic
* E_form: -1.04 eV per formula unit
* calculated density: 7.88 Mg/m³

Lattice parameters (Å, degrees): 4.005 4.005 8.472 103.60 103.60 60.00
Sites, in units of the cell vectors:
1 La 0.231 0.231 0.192
2 La 0.769 0.769 0.808
3 Co 0.500 0.500 0.000
4 Hg 0.000 0.000 0.500

Entry 2:
A plane-wave DFT calculation with PBE was carried out for crystalline LaPr2Sm7 at its relaxed geometry.

## Properties
* crystal system: orthorhombic
* E_form: 6.28 eV per formula unit
* calculated density: 5.96 Mg/m³
* distance to the lowest polymorph of the same formula: 6.11 eV per formula unit

Lattice parameters (Å, degrees): 9.412 9.412 5.594 90.00 90.00 124.03
Sites, in units of the cell vectors:
1 La 0.000 0.000 0.000
2 Pr 0.297 0.703 0.500
3 Pr 0.703 0.297 0.500
4 Sm 0.066 0.293 0.500
5 Sm 0.222 0.778 0.000
6 Sm 0.293 0.066 0.500
7 Sm 0.500 0.500 0.500
8 Sm 0.707 0.934 0.500
9 Sm 0.778 0.222 0.000
10 Sm 0.934 0.707 0.500

Entry 3:
A plane-wave DFT calculation with PBE was carried out for crystalline TaCoTe4 at its relaxed geometry.

## Properties
* crystal system: cubic
* calculated density: 7.77 Mg/m³
* distance to the lowest polymorph of the same formula: 8.71 eV per formula unit

Lattice parameters (Å, degrees): 6.099 6.099 6.099 60.00 60.00 60.00
Sites, in units of the cell vectors:
1 Ta 0.000 0.000 0.000
2 Co 0.250 0.250 0.250
3 Te 0.125 0.625 0.625
4 Te 0.625 0.125 0.625
5 Te 0.625 0.625 0.125
6 Te 0.625 0.625 0.625